Computed, not measured: crystalline Nd2AlZn3Au4 at its relaxed geometry at the GGA-PBE level of DFT.

Calculated values
total energy: -0.263 Ry/atom
D(E_F): 6.3 states/eV/cell

POSCAR file:
```
Nd2AlZn3Au4
1.0
4.3387 0.0000 0.0000
0.0000 4.3387 0.0000
0.0000 0.0000 10.9673
Nd Al Zn Au
2 1 3 4
Cartesian
0.0000 2.1693 2.6981
2.1693 0.0000 8.2692
2.1693 2.1693 0.0000
0.0000 0.0000 0.0000
0.0000 2.1693 6.9686
2.1693 0.0000 3.9987
0.0000 0.0000 5.4836
0.0000 2.1693 9.5087
2.1693 0.0000 1.4586
2.1693 2.1693 5.4836
```